(1)
First-principles (PBE) data for a relaxed Hf6HPb2 crystal, as listed in Alexandria.

The symmetry is P2_1/c (14). The value obtained for the density is 13.34 g/cm3. The calculation puts the calculated volume at 370.1 Å³ per cell.

extended XYZ file:
```
18
Lattice="6.2113 0.0000 0.0000 0.0000 5.9157 0.0000 -6.1119 0.0000 10.0716" Properties=species:S:1:pos:R:3 pbc="T T T"
Hf -0.7490 0.1845 2.5060
Hf -3.8050 2.7734 7.5419
Hf 0.7898 1.4812 0.1039
Hf -2.2662 1.4767 5.1397
Hf -0.8266 4.1903 5.1379
Hf 2.2294 4.6832 0.1021
Hf -2.1300 1.2325 9.9695
Hf 0.9260 1.7253 4.9337
Hf 2.3656 4.4390 4.9319
Hf -0.6903 4.4345 9.9677
Hf 3.9044 3.1423 2.5298
Hf 0.8484 5.7312 7.5656
H 0.0497 0.0000 5.0358
H 3.1057 2.9578 0.0000
Pb 0.6855 3.3716 2.4556
Pb -2.3705 5.5019 7.4914
Pb 2.4699 0.4138 2.5802
Pb -0.5860 2.5441 7.6160
```

(2)
First-principles (PBE) data for a relaxed HfHPb crystal, as listed in Alexandria.

The symmetry is Pca2_1 (29). The value obtained for the density is 12.09 g/cm3. The calculation puts the calculated volume at 212.4 Å³ per cell.

extended XYZ file:
```
12
Lattice="6.2215 0.0000 0.0000 0.0000 5.8410 0.0000 0.0000 0.0000 5.8456" Properties=species:S:1:pos:R:3 pbc="T T T"
Hf 0.7310 0.5780 0.0000
Hf 2.3797 0.5780 2.9228
Hf 3.8418 5.2630 0.0000
Hf 5.4904 5.2630 2.9228
H 0.6181 0.5521 1.9935
H 2.4927 0.5521 4.9163
H 3.7288 5.2889 1.9935
H 5.6034 5.2889 4.9163
Pb 0.8744 3.5323 0.9364
Pb 2.2363 3.5323 3.8592
Pb 3.9852 2.3087 0.9364
Pb 5.3470 2.3087 3.8592
```

(3)
First-principles (PBE) data for a relaxed Hf3HPb crystal, as listed in Alexandria.

The symmetry is Pm-3m (221). The value obtained for the density is 7.86 g/cm3. The calculation puts the calculated volume at 157.0 Å³ per cell.

extended XYZ file:
```
5
Lattice="5.3949 0.0000 0.0000 0.0000 5.3949 0.0000 0.0000 0.0000 5.3949" Properties=species:S:1:pos:R:3 pbc="T T T"
Hf 0.0000 0.0000 2.6975
Hf 0.0000 2.6975 0.0000
Hf 2.6975 0.0000 0.0000
H 2.6975 2.6975 2.6975
Pb 0.0000 0.0000 0.0000
```

(4)
First-principles (PBE) data for a relaxed HfH3Pb crystal, as listed in Alexandria.

The symmetry is Pm-3m (221). The value obtained for the density is 9.63 g/cm3. The calculation puts the calculated volume at 67.0 Å³ per cell.

extended XYZ file:
```
5
Lattice="4.0615 0.0000 0.0000 0.0000 4.0615 0.0000 0.0000 0.0000 4.0615" Properties=species:S:1:pos:R:3 pbc="T T T"
Hf 0.0000 0.0000 0.0000
H 0.0000 2.0307 2.0307
H 2.0307 0.0000 2.0307
H 2.0307 2.0307 0.0000
Pb 2.0307 2.0307 2.0307
```

(5)
First-principles (PBE) data for a relaxed HfH3Pb crystal, as listed in Alexandria.

The symmetry is Pm-3m (221). The value obtained for the density is 10.71 g/cm3. The calculation puts the calculated volume at 60.3 Å³ per cell.

extended XYZ file:
```
5
Lattice="3.9203 0.0000 0.0000 0.0000 3.9203 0.0000 0.0000 0.0000 3.9203" Properties=species:S:1:pos:R:3 pbc="T T T"
Hf 0.0000 0.0000 0.0000
H 0.0000 0.0000 1.9602
H 0.0000 1.9602 0.0000
H 1.9602 0.0000 0.0000
Pb 1.9602 1.9602 1.9602
```

(6)
First-principles (PBE) data for a relaxed Hf8H6Pb crystal, as listed in Alexandria.

The symmetry is R-3 (148). The value obtained for the density is 12.58 g/cm3. The calculation puts the calculated volume at 216.7 Å³ per cell.

extended XYZ file:
```
15
Lattice="4.4686 2.5799 3.1323 -4.4686 2.5799 3.1323 0.0000 -5.1599 3.1323" Properties=species:S:1:pos:R:3 pbc="T T T"
Hf -1.5112 -2.6303 3.7416
Hf 0.0000 0.0000 1.5902
Hf -3.0335 -0.0064 5.6553
Hf -1.5223 2.6239 3.7415
Hf 1.5223 -2.6239 5.6553
Hf 3.0335 0.0064 3.7416
Hf 0.0000 0.0000 7.8067
Hf 1.5112 2.6303 5.6553
H -4.0693 0.7265 4.0461
H -2.6639 -3.1609 5.3508
H 1.4055 -3.8874 4.0461
H -1.4055 3.8874 5.3508
H 2.6639 3.1609 4.0461
H 4.0693 -0.7265 5.3508
Pb 0.0000 0.0000 4.6984
```

Number 1: total energy -7.844 eV per atom. Number 2: total energy -5.778 eV per atom. Number 3: total energy -5.266 eV per atom. Number 4: total energy -3.715 eV per atom. Number 5: total energy -4.687 eV per atom. Number 6: total energy -7.096 eV per atom.